[1]
! NaInH4 | the Alexandria database | PBE | optimized geometry; values from VASP
&SYSTEM
  ibrav = 0, nat = 12, ntyp = 3
/
ATOMIC_SPECIES
H 1.01 H.upf
Na 22.99 Na.upf
In 114.82 In.upf
CELL_PARAMETERS angstrom
5.821 0.116 0.000
-2.245 5.372 0.000
-1.788 -2.744 4.814
ATOMIC_POSITIONS crystal
H 0.715 0.411 0.696
H 0.769 0.965 0.804
H 0.292 0.597 0.305
H 0.292 0.986 0.695
H 0.347 0.542 0.805
Na 0.001 0.501 0.500
H 0.736 0.542 0.195
H 0.715 0.019 0.304
Na 0.251 0.251 0.000
In 0.737 0.737 0.000
In 0.487 0.987 0.500
H 0.161 0.965 0.196
! - Uncorrected energy: -16.8 eV per formula unit
! - Space-group type: I4_1md, No. 109
! - N(E_F): 0.000 states/eV per atom

***

[2]
! NaIn3H | the Alexandria database | PBE | optimized geometry; values from VASP
&SYSTEM
  ibrav = 0, nat = 5, ntyp = 3
/
ATOMIC_SPECIES
In 114.82 In.upf
Na 22.99 Na.upf
H 1.01 H.upf
CELL_PARAMETERS angstrom
4.819 0.000 0.000
0.000 4.819 0.000
0.000 0.000 4.819
ATOMIC_POSITIONS crystal
In 0.000 0.500 0.000
Na 0.500 0.500 0.500
In 0.500 0.000 0.000
In 0.000 0.000 0.500
H 0.000 0.000 0.000
! - Uncorrected energy: -12.1 eV per formula unit
! - Space-group type: Pm-3m, No. 221
! - N(E_F): 0.529 states/eV per atom

***

[3]
! NaIn4H2 | the Alexandria database | PBE | optimized geometry; values from VASP
&SYSTEM
  ibrav = 0, nat = 7, ntyp = 3
/
ATOMIC_SPECIES
In 114.82 In.upf
Na 22.99 Na.upf
H 1.01 H.upf
CELL_PARAMETERS angstrom
3.417 0.000 0.000
0.000 5.033 -0.982
0.000 -0.943 8.552
ATOMIC_POSITIONS crystal
In 0.500 0.894 0.788
Na 0.000 0.500 0.000
In 0.000 0.312 0.625
In 0.500 0.106 0.212
In 0.000 0.688 0.375
H 0.500 0.766 0.532
H 0.500 0.234 0.468
! - Uncorrected energy: -17.8 eV per formula unit
! - Space-group type: Cmmm, No. 65
! - N(E_F): 0.256 states/eV per atom

***

[4]
! Na2InH4 | the Alexandria database | PBE | optimized geometry; values from VASP
&SYSTEM
  ibrav = 0, nat = 14, ntyp = 3
/
ATOMIC_SPECIES
In 114.82 In.upf
H 1.01 H.upf
Na 22.99 Na.upf
CELL_PARAMETERS angstrom
-3.134 -2.868 4.713
4.314 -3.068 1.001
2.872 5.016 2.999
ATOMIC_POSITIONS crystal
In 0.216 0.750 0.143
H 0.936 0.250 0.646
H 0.044 0.250 0.092
H 0.956 0.750 0.908
H 0.539 0.487 0.755
Na 0.280 0.250 0.444
H 0.064 0.750 0.354
H 0.461 0.513 0.245
Na 0.720 0.750 0.556
H 0.539 0.013 0.755
Na 0.327 0.250 0.939
H 0.461 0.987 0.245
Na 0.673 0.750 0.061
In 0.784 0.250 0.857
! - Uncorrected energy: -17.9 eV per formula unit
! - Space-group type: P2_1/m, No. 11
! - N(E_F): 0.125 states/eV per atom

***

[5]
! Na2InH | the Alexandria database | PBE | optimized geometry; values from VASP
&SYSTEM
  ibrav = 0, nat = 4, ntyp = 3
/
ATOMIC_SPECIES
Na 22.99 Na.upf
In 114.82 In.upf
H 1.01 H.upf
CELL_PARAMETERS angstrom
0.000 3.647 3.647
3.647 0.000 3.647
3.647 3.647 0.000
ATOMIC_POSITIONS crystal
Na 0.750 0.750 0.750
In 0.500 0.500 0.500
H 0.000 0.000 0.000
Na 0.250 0.250 0.250
! - Uncorrected energy: -7.2 eV per formula unit
! - Space-group type: Fm-3m, No. 225
! - N(E_F): 0.643 states/eV per atom
! - Energy relative to the lowest polymorph listed for this composition: 1.90 eV/f.u.

***

[6]
! NaIn2H8 | the Alexandria database | PBE | optimized geometry; values from VASP
&SYSTEM
  ibrav = 0, nat = 11, ntyp = 3
/
ATOMIC_SPECIES
H 1.01 H.upf
In 114.82 In.upf
Na 22.99 Na.upf
CELL_PARAMETERS angstrom
-1.757 -2.448 -0.812
2.314 -4.168 7.560
-3.700 0.444 6.660
ATOMIC_POSITIONS crystal
H 0.001 0.444 0.389
In 0.500 0.726 0.549
H 0.500 0.878 0.244
H 0.500 0.122 0.756
In 0.500 0.274 0.451
H 0.001 0.167 0.389
H 0.999 0.556 0.611
H 0.999 0.833 0.611
H 0.379 0.500 0.000
Na 0.000 0.000 0.000
H 0.621 0.500 0.000
! - Uncorrected energy: -30.8 eV per formula unit
! - Space-group type: Cmmm, No. 65
! - N(E_F): 0.126 states/eV per atom

***

- Which value of N(E_F) does entry 4 give?
  0.125 states/eV per atom

***

Copy entry 3 word for word.
! NaIn4H2 | the Alexandria database | PBE | optimized geometry; values from VASP
&SYSTEM
  ibrav = 0, nat = 7, ntyp = 3
/
ATOMIC_SPECIES
In 114.82 In.upf
Na 22.99 Na.upf
H 1.01 H.upf
CELL_PARAMETERS angstrom
3.417 0.000 0.000
0.000 5.033 -0.982
0.000 -0.943 8.552
ATOMIC_POSITIONS crystal
In 0.500 0.894 0.788
Na 0.000 0.500 0.000
In 0.000 0.312 0.625
In 0.500 0.106 0.212
In 0.000 0.688 0.375
H 0.500 0.766 0.532
H 0.500 0.234 0.468
! - Uncorrected energy: -17.8 eV per formula unit
! - Space-group type: Cmmm, No. 65
! - N(E_F): 0.256 states/eV per atom

***

- Which value of uncorrected energy does entry 5 give?
  -7.2 eV per formula unit